## Rb3Sc2SnSe6 (GGA-PBE)

Data for a geometry-optimized Rb3Sc2SnSe6 structure.

Computed properties:
- calculated total energy (eV per atom) = -4.661
- V (Å³/f.u.) = 350
- theoretical density (kg/m³) = 4459

Structure (POSCAR):
```
Rb3Sc2SnSe6
1.0
-3.893 5.076 -3.181
-2.981 -4.230 4.924
4.356 4.849 5.078
Rb Sc Sn Se
3 2 1 6
direct
0.163 0.837 0.500
0.837 0.163 0.500
0.500 0.500 0.500
0.333 0.667 0.000
0.667 0.333 0.000
0.000 0.000 0.000
0.937 0.592 0.812
0.717 0.717 0.187
0.063 0.408 0.188
0.592 0.937 0.812
0.283 0.283 0.813
0.408 0.063 0.188
```

***

## AcTcIO4 (GGA-PBE)

Data for a geometry-optimized AcTcIO4 structure.

Computed properties:
- calculated total energy (eV per atom) = -7.068
- V (Å³/f.u.) = 158
- theoretical density (kg/m³) = 5433

Structure (POSCAR):
```
AcTcIO4
1.0
6.895 0.269 -0.326
2.538 6.417 -0.326
1.570 1.113 7.130
Ac Tc I O
2 2 2 8
direct
0.246 0.246 0.864
0.754 0.754 0.136
0.630 0.630 0.731
0.370 0.370 0.269
0.025 0.025 0.249
0.975 0.975 0.751
0.296 0.296 0.503
0.704 0.704 0.497
0.138 0.490 0.136
0.525 0.525 0.220
0.510 0.862 0.864
0.490 0.138 0.136
0.475 0.475 0.780
0.862 0.510 0.864
```

***

## MgBeRe2 (GGA-PBE)

Data for a geometry-optimized MgBeRe2 structure.

Computed properties:
- energy relative to the elements (eV per atom) = 0.3180
- calculated total energy (eV per atom) = -7.236
- V (Å³/f.u.) = 56
- energy above the most stable polymorph in this dataset (meV/atom) = 267
- theoretical density (kg/m³) = 12016

Structure (POSCAR):
```
MgBeRe2
1.0
-1.501 -1.127 -1.840
2.050 -1.445 -0.787
-2.080 -5.818 5.261
Re Mg Be
2 1 1
direct
0.000 0.000 0.032
0.000 0.000 0.468
0.500 0.500 0.750
0.500 0.500 0.250
```

***

## Rb3CuTe2O8 (GGA-PBE)

Data for a geometry-optimized Rb3CuTe2O8 structure.

Computed properties:
- calculated total energy (eV per atom) = -4.910
- V (Å³/f.u.) = 258
- theoretical density (kg/m³) = 4522

Structure (POSCAR):
```
Rb3CuTe2O8
1.0
6.109 0.000 0.000
-3.054 5.290 0.000
0.000 0.000 7.991
Rb Cu Te O
3 1 2 8
direct
0.333 0.667 0.674
0.667 0.333 0.326
0.000 0.000 0.000
0.000 0.000 0.500
0.333 0.667 0.245
0.667 0.333 0.755
0.333 0.667 0.014
0.667 0.333 0.986
0.167 0.833 0.329
0.833 0.167 0.671
0.167 0.335 0.329
0.833 0.665 0.671
0.665 0.833 0.329
0.335 0.167 0.671
```

***

## Ac2PuMoN5 (GGA-PBE)

Data for a geometry-optimized Ac2PuMoN5 structure.

Computed properties:
- calculated total energy (eV per atom) = -9.324
- V (Å³/f.u.) = 143
- theoretical density (kg/m³) = 10049

Structure (POSCAR):
```
Ac2PuMoN5
1.0
3.630 0.000 0.000
-1.815 7.149 0.000
0.000 0.000 11.002
Ac Pu Mo N
4 2 2 10
direct
0.853 0.706 0.809
0.107 0.215 0.680
0.147 0.294 0.309
0.893 0.785 0.180
0.795 0.591 0.514
0.205 0.409 0.014
0.525 0.051 0.954
0.475 0.949 0.454
0.370 0.739 0.005
0.675 0.350 0.894
0.489 0.978 0.794
0.283 0.567 0.647
0.960 0.920 0.527
0.630 0.261 0.505
0.325 0.650 0.394
0.511 0.022 0.294
0.717 0.433 0.147
0.040 0.080 0.027
```

***

## Ba2Sr2Zn (GGA-PBE)

Data for a geometry-optimized Ba2Sr2Zn structure.

Computed properties:
- energy relative to the elements (eV per atom) = 0.1341
- calculated total energy (eV per atom) = -1.562
- V (Å³/f.u.) = 265
- energy above the most stable polymorph in this dataset (meV/atom) = 205
- theoretical density (kg/m³) = 3228

Structure (POSCAR):
```
Ba2Sr2Zn
1.0
8.751 0.000 0.000
0.000 8.751 0.000
0.000 0.000 6.924
Sr Zn Ba
4 2 4
direct
0.168 0.668 0.500
0.668 0.832 0.500
0.832 0.332 0.500
0.332 0.168 0.500
0.000 0.000 0.000
0.500 0.500 0.000
0.340 0.840 0.000
0.840 0.660 0.000
0.660 0.160 0.000
0.160 0.340 0.000
```